This record from Alexandria describes a relaxed structure of Na3CdPd. The functional is PBE-GGA.

Summary:
Polymorph energy (0 for the lowest one) in eV per atom: 0.000
Crystal system: monoclinic
Total magnetization in μB per formula unit: 0.00
Energy of formation in meV per atom: -125

Unit cell a=6.2484 b=8.3977 c=9.9551 alpha=107.81 beta=90.00 gamma=90.00
With the nearest neighbours (Å) after each atom.
Fractional coordinates of all 20 atoms:
1 Na 0.5096 0.0020 0.1563  2 Pd 3.05-3.06, 1 Na 3.11
2 Na 0.7307 0.6265 0.6569  3 Pd 2.83-3.10, 2 Cd 3.11-3.14, 1 Na 3.15
3 Na 0.9904 0.0020 0.6563  2 Pd 3.05-3.06, 1 Na 3.11
4 Na 0.5012 0.2130 0.5512  2 Pd 3.11-3.41, 2 Cd 3.13-3.29, 3 Na 3.15-3.41
5 Na 0.4988 0.7870 0.4488  2 Pd 3.11-3.41, 2 Cd 3.13-3.29, 3 Na 3.15-3.41
6 Na 0.9988 0.2130 0.0512  2 Pd 3.11-3.41, 2 Cd 3.13-3.29, 3 Na 3.15-3.41
7 Na 0.4904 0.9980 0.8437  2 Pd 3.05-3.06, 1 Na 3.11
8 Na 0.7693 0.6265 0.1569  3 Pd 2.83-3.10, 2 Cd 3.11-3.14, 1 Na 3.15
9 Na 0.2693 0.3735 0.3431  3 Pd 2.83-3.10, 2 Cd 3.11-3.14, 1 Na 3.15
10 Na 0.0096 0.9980 0.3437  2 Pd 3.05-3.06, 1 Na 3.11
11 Na 0.0012 0.7870 0.9488  2 Pd 3.11-3.41, 2 Cd 3.13-3.29, 3 Na 3.15-3.41
12 Na 0.2307 0.3735 0.8431  3 Pd 2.83-3.10, 2 Cd 3.11-3.14, 1 Na 3.15
13 Pd 0.5241 0.3287 0.0804  6 Na 2.83-3.11, 3 Cd 2.86-2.91
14 Pd 0.0241 0.6713 0.4196  6 Na 2.83-3.11, 3 Cd 2.86-2.91
15 Pd 0.9759 0.3287 0.5804  6 Na 2.83-3.11, 3 Cd 2.86-2.91
16 Pd 0.4759 0.6713 0.9196  6 Na 2.83-3.11, 3 Cd 2.86-2.91
17 Cd 0.2673 0.6249 0.1607  3 Pd 2.86-2.91, 4 Na 3.11-3.18
18 Cd 0.2327 0.6249 0.6607  3 Pd 2.86-2.91, 4 Na 3.11-3.18
19 Cd 0.7673 0.3751 0.3393  3 Pd 2.86-2.91, 4 Na 3.11-3.18
20 Cd 0.7327 0.3751 0.8393  3 Pd 2.86-2.91, 4 Na 3.11-3.18